(1)
# SmY2OsO8 (PBE-GGA, relaxed)
# DFT total energy, eV/cell: -197.005
# Spin magnetization, μB per formula unit: 1.044
# ΔE_f (raw), meV per atom: -2497
# Calculated volume, Å³ per cell: 352.4
data_SmY2OsO8
_cell_length_a 7.167
_cell_length_b 7.177
_cell_length_c 6.852
_cell_angle_alpha 90.00
_cell_angle_beta 90.00
_cell_angle_gamma 90.00
_space_group_name_H-M_alt 'C m m m'
_space_group_IT_number 65
_space_group_name_Hall '-C 2 2'
loop_
_atom_site_label
_atom_site_fract_x
_atom_site_fract_y
_atom_site_fract_z
_atom_site_occupancy
Sm1 0.000 0.000 0.000 1
Y1 0.000 0.500 0.248 1
Os1 0.000 0.000 0.500 1
O1 0.000 0.263 0.500 1
O2 0.000 0.312 0.000 1
O3 0.184 0.000 0.295 1

---

(2)
# K2RbTlCd (PBE-GGA, relaxed)
# ΔE to the lowest computed polymorph, meV per atom: 7.9
# DFT total energy, eV/cell: -6.275
# Spin magnetization, μB per formula unit: 0.000
# Calculated volume, Å³ per cell: 276.3
# ΔE_f, kJ/mol of formula units: 16
data_K2RbTlCd
_cell_length_a 6.898
_cell_length_b 6.898
_cell_length_c 5.808
_cell_angle_alpha 90.00
_cell_angle_beta 90.00
_cell_angle_gamma 90.00
_space_group_name_H-M_alt 'P 4/m m m'
_space_group_IT_number 123
_space_group_name_Hall '-P 4 2'
loop_
_atom_site_label
_atom_site_fract_x
_atom_site_fract_y
_atom_site_fract_z
_atom_site_occupancy
K1 0.000 0.500 0.000 1
Rb1 0.000 0.000 0.500 1
Tl1 0.500 0.500 0.000 1
Cd1 0.500 0.500 0.500 1

---

(3)
# K2MoP (PBE-GGA, relaxed)
# DFT total energy, eV/cell: -59.458
# Spin magnetization, μB per formula unit: 4.999
# Calculated volume, Å³ per cell: 416.4
# ΔE_f, kJ/mol of formula units: 345
data_K2MoP
_cell_length_a 7.467
_cell_length_b 7.467
_cell_length_c 7.467
_cell_angle_alpha 90.00
_cell_angle_beta 90.00
_cell_angle_gamma 90.00
_space_group_name_H-M_alt 'F -4 3 m'
_space_group_IT_number 216
_space_group_name_Hall 'F -4 2 3'
loop_
_atom_site_label
_atom_site_fract_x
_atom_site_fract_y
_atom_site_fract_z
_atom_site_occupancy
K1 0.000 0.000 0.000 1
K2 0.250 0.250 0.250 1
Mo1 0.000 0.000 0.500 1
P1 0.250 0.250 0.750 1